DFT (GGA-PBE) results for crystalline Cd4In3Hg4 at its relaxed geometry.

The value obtained for the formation energy is 0.028 eV/atom.

The space group is Immm (No. 71) and the conventional cell measures 3.5427, 9.5055 and 16.9731 Å, with angles of 90.00, 90.00 and 90.00 degrees. Symmetry generates all atoms from Cd at (0.0000, 0.2290, 0.1782), In at (0.0000, 0.0000, 0.5000), In at (0.0000, 0.5000, 0.4062), Hg at (0.0000, 0.0000, 0.3179) and Hg at (0.0000, 0.2357, 0.0000).

---

DFT (GGA-PBE) results for crystalline Ca3ZrBi at its relaxed geometry.

The value obtained for the formation energy is 0.733 eV/atom.

The space group is Pm-3m (No. 221) and the conventional cell measures 5.6936, 5.6936 and 5.6936 Å, with angles of 90.00, 90.00 and 90.00 degrees. Symmetry generates all atoms from Ca at (0.0000, 0.0000, 0.5000), Zr at (0.0000, 0.0000, 0.0000) and Bi at (0.5000, 0.5000, 0.5000).

---

DFT (GGA-PBE) results for crystalline CoPt5Rh3 at its relaxed geometry.

The value obtained for the formation energy is 0.396 eV/atom.

The space group is I4/mcm (No. 140) and the conventional cell measures 6.7126, 6.7126 and 12.7554 Å, with angles of 90.00, 90.00 and 90.00 degrees. Symmetry generates all atoms from Co at (0.0000, 0.5000, 0.2500), Pt at (0.0000, 0.0000, 0.0000), Pt at (0.2058, 0.2942, 0.1476), Rh at (0.0000, 0.0000, 0.2500) and Rh at (0.1217, 0.3783, 0.5000).

---

DFT (GGA-PBE) results for crystalline Tl2Zn2HgCl6 at its relaxed geometry.

For the raw formation energy, the calculation gives -0.9792 eV/atom.

The space group is P-1 (No. 2) and the conventional cell measures 6.9814, 7.9746 and 8.1561 Å, with angles of 79.65, 73.66 and 76.24 degrees. Symmetry generates all atoms from Tl at (0.0194, 0.2751, 0.2756), Zn at (0.4981, 0.6529, 0.3332), Hg at (0.0000, 0.0000, 0.0000), Cl at (0.2836, 0.9029, 0.3866), Cl at (0.2860, 0.4217, 0.9122) and Cl at (0.3038, 0.4302, 0.4567).

---

DFT (GGA-PBE) results for crystalline Tl5Te4Au2 at its relaxed geometry.

For the raw formation energy, the calculation gives -0.1875 eV/atom.

The space group is C2/m (No. 12) and the conventional cell measures 19.2478, 4.3523 and 9.9006 Å, with angles of 90.00, 94.28 and 90.00 degrees. Symmetry generates all atoms from Tl at (0.0000, 0.0000, 0.0000), Tl at (0.1481, 0.5000, 0.5101), Tl at (0.1594, 0.5000, 0.9504), Te at (0.0005, 0.5000, 0.2777), Te at (0.2258, 0.0000, 0.7478) and Au at (0.0849, 0.0000, 0.7172).

---

DFT (GGA-PBE) results for crystalline KCd2P at its relaxed geometry.

The value obtained for the formation energy is 0.011 eV/atom.

The space group is R-3m (No. 166, hexagonal axes) and the conventional cell measures 4.4692, 4.4692 and 20.9992 Å, with angles of 90.00, 90.00 and 120.00 degrees. Symmetry generates all atoms from K at (0.0000, 0.0000, 0.0000), Cd at (0.0000, 0.0000, 0.2157) and P at (0.0000, 0.0000, 0.5000).

---

DFT (GGA-PBE) results for crystalline Rb2NaSn2F7 at its relaxed geometry.

For the raw formation energy, the calculation gives -2.4434 eV/atom.

The space group is C2/m (No. 12) and the conventional cell measures 5.8600, 7.0591 and 12.1663 Å, with angles of 90.00, 98.54 and 90.00 degrees. Symmetry generates all atoms from Rb at (0.1995, 0.0000, 0.3777), Na at (0.0000, 0.0000, 0.0000), Sn at (0.1048, 0.5000, 0.1836), F at (0.0000, 0.5000, 0.0000), F at (0.1178, 0.1853, 0.8493) and F at (0.2360, 0.5000, 0.3962).

---

DFT (GGA-PBE) results for crystalline ThScCr4 at its relaxed geometry.

The value obtained for the formation energy is 0.217 eV/atom.

The space group is F-43m (No. 216) and the conventional cell measures 7.2779, 7.2779 and 7.2779 Å, with angles of 90.00, 90.00 and 90.00 degrees. Symmetry generates all atoms from Th at (0.0000, 0.0000, 0.0000), Sc at (0.2500, 0.2500, 0.2500) and Cr at (0.1249, 0.1249, 0.6249).

---

DFT (GGA-PBE) results for crystalline LiZrMn2 at its relaxed geometry.

The value obtained for the formation energy is 0.278 eV/atom.

The space group is Pm (No. 6) and the conventional cell measures 2.7831, 3.8590 and 5.7439 Å, with angles of 90.00, 102.40 and 90.00 degrees. Symmetry generates all atoms from Li at (0.0000, 0.0000, 0.0000), Zr at (0.3990, 0.5000, 0.6902), Mn at (0.4821, 0.5000, 0.2354) and Mn at (0.8207, 0.0000, 0.4089).

---

DFT (GGA-PBE) results for crystalline InSbPb at its relaxed geometry.

For the raw formation energy, the calculation gives 0.0158 eV/atom.

The space group is P3m1 (No. 156) and the conventional cell measures 5.5447, 5.5447 and 6.6861 Å, with angles of 90.00, 90.00 and 120.00 degrees. Symmetry generates all atoms from In at (0.0000, 0.0000, 0.0000), In at (0.3333, 0.6667, 0.2716), Sb at (0.0000, 0.0000, 0.4723), Sb at (0.6667, 0.3333, 0.9676), Pb at (0.3333, 0.6667, 0.7802) and Pb at (0.6667, 0.3333, 0.4977).

---

DFT (GGA-PBE) results for crystalline Li2Hg3Au3 at its relaxed geometry.

The value obtained for the formation energy is -0.229 eV/atom.

The space group is Cmcm (No. 63) and the conventional cell measures 4.0919, 9.6826 and 16.2580 Å, with angles of 90.00, 90.00 and 90.00 degrees. Symmetry generates all atoms from Li at (0.0000, 0.2198, 0.1532), Hg at (0.0000, 0.0973, 0.7500), Hg at (0.0000, 0.1476, 0.5518), Au at (0.0000, 0.3910, 0.7500) and Au at (0.0000, 0.4393, 0.5813).

---

DFT (GGA-PBE) results for crystalline Cu2Ir at its relaxed geometry.

The value obtained for the formation energy is 0.382 eV/atom.

The space group is I4/mcm (No. 140) and the conventional cell measures 5.9606, 5.9606 and 4.9622 Å, with angles of 90.00, 90.00 and 90.00 degrees. Symmetry generates all atoms from Cu at (0.1548, 0.3452, 0.0000) and Ir at (0.0000, 0.0000, 0.2500).

---

DFT (GGA-PBE) results for crystalline PmYAl2 at its relaxed geometry.

The value obtained for the formation energy is -0.392 eV/atom.

The space group is Fm-3m (No. 225) and the conventional cell measures 7.3127, 7.3127 and 7.3127 Å, with angles of 90.00, 90.00 and 90.00 degrees. Symmetry generates all atoms from Pm at (0.0000, 0.0000, 0.0000), Y at (0.0000, 0.0000, 0.5000) and Al at (0.2500, 0.2500, 0.2500).

---

DFT (GGA-PBE) results for crystalline CsAs12Au7 at its relaxed geometry.

The value obtained for the formation energy is 0.017 eV/atom.

The space group is P-1 (No. 2) and the conventional cell measures 7.1261, 7.2947 and 9.7933 Å, with angles of 90.91, 92.10 and 97.14 degrees. Symmetry generates all atoms from Cs at (0.0000, 0.0000, 0.0000), As at (0.0375, 0.5041, 0.3763), As at (0.1439, 0.8140, 0.6772), As at (0.2749, 0.9451, 0.4611), As at (0.3606, 0.6040, 0.0061), As at (0.4442, 0.2250, 0.6149), As at (0.4509, 0.7591, 0.7873), Au at (0.0000, 0.5000, 0.0000), Au at (0.0618, 0.1724, 0.6599), Au at (0.3729, 0.4229, 0.3823) and Au at (0.4776, 0.9076, 0.1314).

---

DFT (GGA-PBE) results for crystalline Ac4H2Pt3 at its relaxed geometry.

As for the uncorrected energy: -195.62 eV for the cell shown.

The space group is C2/c (No. 15) and the conventional cell measures 13.1466, 10.3544 and 6.8265 Å, with angles of 90.00, 93.29 and 90.00 degrees. Symmetry generates all atoms from Ac at (0.1032, 0.1562, 0.0226), Ac at (0.1548, 0.4206, 0.5861), H at (0.2017, 0.3628, 0.9348), Pt at (0.0000, 0.3787, 0.2500) and Pt at (0.1295, 0.1326, 0.5416).

---

DFT (GGA-PBE) results for crystalline Ca5Ac12Pm3 at its relaxed geometry.

The value obtained for the formation energy is 0.800 eV/atom.

The space group is Ia-3d (No. 230) and the conventional cell measures 20.9064, 20.9064 and 20.9064 Å, with angles of 90.00, 90.00 and 90.00 degrees. Symmetry generates all atoms from Ca at (0.0000, 0.0000, 0.0000), Ca at (0.0000, 0.2500, 0.3750), Ac at (0.0061, 0.0860, 0.6449) and Pm at (0.0000, 0.2500, 0.1250).

---

DFT (GGA-PBE) results for crystalline Tl3Ga9Ge2 at its relaxed geometry.

The value obtained for the formation energy is 0.070 eV/atom.

The space group is Immm (No. 71) and the conventional cell measures 4.4050, 10.6867 and 13.0654 Å, with angles of 90.00, 90.00 and 90.00 degrees. Symmetry generates all atoms from Tl at (0.0000, 0.0000, 0.0000), Tl at (0.0000, 0.0000, 0.3086), Ga at (0.0000, 0.2794, 0.1489), Ga at (0.0000, 0.3756, 0.3446), Ga at (0.0000, 0.5000, 0.0000) and Ge at (0.0000, 0.2034, 0.5000).

---

DFT (GGA-PBE) results for crystalline MgCd3S at its relaxed geometry.

For the raw formation energy, the calculation gives 0.2999 eV/atom.

The space group is Pm-3m (No. 221) and the conventional cell measures 5.2225, 5.2225 and 5.2225 Å, with angles of 90.00, 90.00 and 90.00 degrees. Symmetry generates all atoms from Mg at (0.0000, 0.0000, 0.0000), Cd at (0.0000, 0.5000, 0.5000) and S at (0.5000, 0.5000, 0.5000).

---

DFT (GGA-PBE) results for crystalline DyNiTe2 at its relaxed geometry.

For the raw formation energy, the calculation gives -0.1925 eV/atom.

The space group is R-3m (No. 166, hexagonal axes) and the conventional cell measures 3.7460, 3.7460 and 26.9016 Å, with angles of 90.00, 90.00 and 120.00 degrees. Symmetry generates all atoms from Dy at (0.0000, 0.0000, 0.0000), Ni at (0.0000, 0.0000, 0.5000) and Te at (0.0000, 0.0000, 0.1133).

---

DFT (GGA-PBE) results for crystalline KGePtI2 at its relaxed geometry.

For the raw formation energy, the calculation gives -0.4102 eV/atom.

The space group is P4/mmm (No. 123) and the conventional cell measures 5.9878, 5.9878 and 4.6895 Å, with angles of 90.00, 90.00 and 90.00 degrees. Symmetry generates all atoms from K at (0.0000, 0.0000, 0.0000), Ge at (0.5000, 0.5000, 0.0000), Pt at (0.5000, 0.5000, 0.5000) and I at (0.0000, 0.5000, 0.5000).

---

Fermi-level density of states for the records above, in order: 3.98; 7.53; 13.17; 0.00; 3.07; 1.01; 0.00; 7.94; 3.49; 1.28; 1.87; 2.33; 1.70; 6.17; 4.01; 33.51; 5.99; 2.16; 3.22; 1.51 states/eV/f.u.
Total magnetization for the records above, in order: 0.000; 0.505; 10.600; 0.000; 0.000; 0.000; 0.000; 0.000; 0.376; 0.000; 0.000; 0.000; 0.000; 0.000; 0.000; 0.000; 0.000; 0.000; 0.000; 0.000 μB per cell